<i>
This record from Alexandria describes Ce4CoTc after structural relaxation. The functional is PBE-GGA.

Summary:
total moment: 0.0 μB per cell

a = 4.7000 Å, b = 7.0043 Å, c = 9.7300 Å
α = 90.00°, β = 122.95°, γ = 90.00°
Fractional positions:
Ce (0.1267, 0.9887, 0.7667)
Ce (0.6972, 0.2500, 0.8884)
Ce (0.3028, 0.7500, 0.1116)
Ce (0.1267, 0.5113, 0.7667)
Ce (0.8733, 0.4887, 0.2333)
Ce (0.6826, 0.2500, 0.4765)
Ce (0.8733, 0.0113, 0.2333)
Ce (0.3174, 0.7500, 0.5235)
Co (0.7187, 0.7500, 0.4599)
Co (0.2813, 0.2500, 0.5401)
Tc (0.3301, 0.2500, 0.0904)
Tc (0.6699, 0.7500, 0.9096)

***

<ii>
This record from Alexandria describes Ce4CoTc after structural relaxation. The functional is PBE-GGA.

Summary:
total moment: 0.0 μB per cell

a = 4.6364 Å, b = 6.3611 Å, c = 9.7765 Å
α = 90.00°, β = 103.72°, γ = 90.00°
Fractional positions:
Ce (0.4322, 0.8214, 0.8644)
Ce (0.9143, 0.3231, 0.8285)
Ce (0.7072, 0.0609, 0.4145)
Ce (0.2928, 0.5609, 0.5855)
Ce (0.5678, 0.3214, 0.1356)
Ce (0.0857, 0.8231, 0.1715)
Ce (0.2922, 0.0863, 0.5845)
Ce (0.7078, 0.5863, 0.4155)
Co (0.4284, 0.3199, 0.8568)
Co (0.5716, 0.8199, 0.1432)
Tc (0.1492, 0.3218, 0.2984)
Tc (0.8508, 0.8218, 0.7016)

***

The data favor <i>; the next most stable structure lies 47 meV/atom above it.

***

<i>
This record from Alexandria describes CeTh2Co6 after structural relaxation. The functional is PBE-GGA.

Summary:
total moment: 0.7 μB per cell

a = 3.8834 Å, b = 6.8765 Å, c = 6.8765 Å
α = 120.00°, β = 90.00°, γ = 90.00°
Site moments in Bohr magnetons follow the coordinates.
Fractional positions:
Co (0.5000, 0.3322, 0.3322)  0.18
Co (0.5000, 0.6678, 0.6678)  0.18
Co (0.5000, 0.0000, 0.3322)  0.18
Co (0.5000, 0.6678, 0.0000)  0.18
Co (0.5000, 0.0000, 0.6678)  0.18
Co (0.5000, 0.3322, 0.0000)  0.18
Ce (0.0000, 0.0000, 0.0000)  -0.20
Th (0.0000, 0.6667, 0.3333)  -0.05
Th (0.0000, 0.3333, 0.6667)  -0.05

***

<ii>
This record from Alexandria describes CeTh2Co6 after structural relaxation. The functional is PBE-GGA.

Summary:
total moment: 3.6 μB per cell

a = 3.6517 Å, b = 7.4095 Å, c = 7.4095 Å
α = 61.80°, β = 75.73°, γ = 75.73°
Site moments in Bohr magnetons follow the coordinates.
Fractional positions:
Co (0.1860, 0.0738, 0.5542)  0.83
Co (0.0000, 0.7596, 0.2404)  0.76
Co (0.8140, 0.9262, 0.4458)  0.83
Co (0.0000, 0.2404, 0.7596)  0.76
Co (0.1860, 0.5542, 0.0738)  0.83
Co (0.8140, 0.4458, 0.9262)  0.83
Ce (0.5000, 0.5000, 0.5000)  -0.53
Th (0.3564, 0.1436, 0.1436)  -0.18
Th (0.6436, 0.8564, 0.8564)  -0.18

***

The data favor <i>; the next most stable structure lies 307 meV/atom above it.

***

<i>
This record from Alexandria describes CeTiCo after structural relaxation. The functional is PBE-GGA.

Summary:
total moment: 0.0 μB per cell

a = 4.1137 Å, b = 7.0119 Å, c = 8.0006 Å
α = 91.91°, β = 104.90°, γ = 90.00°
Fractional positions:
Ce (0.0372, 0.3185, 0.0743)
Ce (0.4282, 0.1363, 0.8564)
Ce (0.9628, 0.6815, 0.9257)
Ce (0.5718, 0.8637, 0.1436)
Co (0.6439, 0.5425, 0.2878)
Co (0.3561, 0.4575, 0.7122)
Co (0.6500, 0.1922, 0.2999)
Co (0.3500, 0.8078, 0.7001)
Ti (0.2222, 0.1177, 0.4445)
Ti (0.7874, 0.3815, 0.5749)
Ti (0.7778, 0.8823, 0.5555)
Ti (0.2126, 0.6185, 0.4251)

***

<ii>
This record from Alexandria describes CeTiCo after structural relaxation. The functional is PBE-GGA.

Summary:
total moment: 0.0 μB per cell

a = 4.3473 Å, b = 3.9811 Å, c = 3.9811 Å
α = 120.00°, β = 90.00°, γ = 90.00°
Fractional positions:
Ce (0.6952, 0.6667, 0.3333)
Co (0.0995, 0.0000, 0.0000)
Ti (0.2053, 0.3333, 0.6667)

***

The data favor <i>; the next most stable structure lies 122 meV/atom above it.

***

<i>
This record from Alexandria describes Ce3TlCo after structural relaxation. The functional is PBE-GGA.

Summary:
total moment: 1.8 μB per cell

a = 5.1506 Å, b = 5.1506 Å, c = 5.1506 Å
α = 90.00°, β = 90.00°, γ = 90.00°
Site moments in Bohr magnetons follow the coordinates.
Fractional positions:
Ce (0.0000, 0.0000, 0.5000)  0.53
Ce (0.0000, 0.5000, 0.0000)  0.53
Ce (0.5000, 0.0000, 0.0000)  0.53
Tl (0.5000, 0.5000, 0.5000)  -0.02
Co (0.0000, 0.0000, 0.0000)  -0.07

***

<ii>
This record from Alexandria describes Ce3TlCo after structural relaxation. The functional is PBE-GGA.

Summary:
total moment: 3.8 μB per cell

a = 3.5725 Å, b = 6.8021 Å, c = 10.9799 Å
α = 90.00°, β = 90.00°, γ = 74.79°
Site moments in Bohr magnetons follow the coordinates.
Fractional positions:
Ce (0.3523, 0.2934, 0.7730)  0.43
Ce (0.6477, 0.7065, 0.2730)  0.43
Ce (0.6477, 0.7065, 0.7270)  0.43
Ce (0.9771, 0.0467, 0.5000)  0.72
Ce (0.0229, 0.9534, 0.0000)  0.72
Ce (0.3523, 0.2934, 0.2270)  0.43
Tl (0.7470, 0.5035, 0.0000)  -0.01
Tl (0.2530, 0.4965, 0.5000)  -0.01
Co (0.0000, 0.0000, 0.2501)  -0.12
Co (0.0000, 0.0000, 0.7499)  -0.12

***

The data favor <i>; the next most stable structure lies 11 meV/atom above it.

***

<i>
This record from Alexandria describes Ce5Tl2Co after structural relaxation. The functional is PBE-GGA.

Summary:
total moment: 0.6 μB per cell

a = 6.9560 Å, b = 6.8407 Å, c = 6.6021 Å
α = 122.17°, β = 121.79°, γ = 90.00°
Site moments in Bohr magnetons follow the coordinates.
Fractional positions:
Ce (0.7927, 0.2936, 0.0778)  0.00
Ce (0.2851, 0.2935, 0.0778)  0.00
Ce (0.2554, 0.7008, 0.9218)  0.27
Ce (0.7143, 0.6858, 0.4285)  0.02
Ce (0.6664, 0.7008, 0.9218)  0.27
Tl (0.2397, 0.8378, 0.4794)  0.00
Tl (0.7558, 0.2196, 0.5116)  0.00
Co (0.0676, 0.0450, 0.1353)  -0.04

***

<ii>
This record from Alexandria describes Ce5Tl2Co after structural relaxation. The functional is PBE-GGA.

Summary:
total moment: 4.1 μB per cell

a = 6.7020 Å, b = 6.7019 Å, c = 6.6387 Å
α = 120.31°, β = 120.32°, γ = 90.00°
Site moments in Bohr magnetons follow the coordinates.
Fractional positions:
Ce (0.2470, 0.2470, 0.9668)  0.68
Ce (0.7198, 0.2471, 0.9669)  0.68
Ce (0.2469, 0.7197, 0.9666)  0.68
Ce (0.7197, 0.7198, 0.9667)  0.68
Ce (0.7757, 0.7755, 0.5513)  0.77
Tl (0.7289, 0.2289, 0.4579)  0.00
Tl (0.2290, 0.7291, 0.4579)  0.00
Co (0.1099, 0.1100, 0.2198)  -0.28

***

The data favor <i>; the next most stable structure lies 22 meV/atom above it.

***

<i>
This record from Alexandria describes Ce2TmCo after structural relaxation. The functional is PBE-GGA.

Summary:
total moment: 0.0 μB per cell

a = 3.5431 Å, b = 3.5431 Å, c = 7.6527 Å
α = 90.00°, β = 90.00°, γ = 90.00°
Fractional positions:
Tm (0.5000, 0.5000, 0.5000)
Ce (0.0000, 0.0000, 0.8147)
Ce (0.0000, 0.0000, 0.1853)
Co (0.5000, 0.5000, 0.0000)

***

<ii>
This record from Alexandria describes Ce2TmCo after structural relaxation. The functional is PBE-GGA.

Summary:
total moment: 1.0 μB per cell

a = 5.4406 Å, b = 5.4406 Å, c = 4.8692 Å
α = 56.04°, β = 56.04°, γ = 60.00°
Site moments in Bohr magnetons follow the coordinates.
Fractional positions:
Co (0.0000, 0.0000, 0.0000)  -0.04
Tm (0.5000, 0.5000, 0.5000)  0.19
Ce (0.7792, 0.7792, 0.6625)  0.34
Ce (0.2208, 0.2208, 0.3375)  0.34

***

The data favor <i>; the next most stable structure lies 297 meV/atom above it.

***

<i>
This record from Alexandria describes Ce2TmCo after structural relaxation. The functional is PBE-GGA.

Summary:
total moment: 0.0 μB per cell

a = 5.9737 Å, b = 6.7453 Å, c = 9.4939 Å
α = 90.00°, β = 90.00°, γ = 90.00°
Fractional positions:
Ce (0.3588, 0.1571, 0.0618)
Ce (0.1412, 0.6572, 0.4382)
Ce (0.6412, 0.8429, 0.9382)
Ce (0.8588, 0.3429, 0.9383)
Ce (0.8588, 0.3428, 0.5618)
Ce (0.1412, 0.6571, 0.0617)
Ce (0.6412, 0.8429, 0.5617)
Ce (0.3588, 0.1571, 0.4383)
Co (0.6213, 0.0950, 0.7500)
Co (0.1213, 0.4050, 0.2500)
Co (0.8787, 0.5950, 0.7500)
Co (0.3787, 0.9050, 0.2500)
Tm (0.6315, 0.5530, 0.2500)
Tm (0.1315, 0.9470, 0.7500)
Tm (0.8685, 0.0530, 0.2500)
Tm (0.3685, 0.4470, 0.7500)

***

<ii>
This record from Alexandria describes Ce2TmCo after structural relaxation. The functional is PBE-GGA.

Summary:
total moment: 0.2 μB per cell

a = 3.6765 Å, b = 3.6765 Å, c = 9.0743 Å
α = 78.31°, β = 78.31°, γ = 60.00°
Site moments in Bohr magnetons follow the coordinates.
Fractional positions:
Ce (0.2725, 0.2725, 0.1825)  0.38
Ce (0.0614, 0.0614, 0.8159)  -0.29
Tm (0.4992, 0.4992, 0.5025)  0.05
Co (0.6670, 0.6670, 0.9991)  0.00

***

The data favor <i>; the next most stable structure lies 142 meV/atom above it.

***

<i>
This record from Alexandria describes CeTm2Co after structural relaxation. The functional is PBE-GGA.

Summary:
total moment: 1.6 μB per cell

a = 3.6635 Å, b = 3.6635 Å, c = 9.3373 Å
α = 78.69°, β = 78.69°, γ = 60.00°
Site moments in Bohr magnetons follow the coordinates.
Fractional positions:
Ce (0.5015, 0.5015, 0.4955)  1.07
Tm (0.2766, 0.2766, 0.1702)  0.07
Tm (0.0558, 0.0558, 0.8326)  0.08
Co (0.6661, 0.6661, 0.0017)  0.01

***

<ii>
This record from Alexandria describes CeTm2Co after structural relaxation. The functional is PBE-GGA.

Summary:
total moment: 1.8 μB per cell

a = 3.3239 Å, b = 3.3239 Å, c = 8.7543 Å
α = 90.00°, β = 90.00°, γ = 90.00°
Site moments in Bohr magnetons follow the coordinates.
Fractional positions:
Tm (0.0000, 0.0000, 0.1818)  -0.03
Tm (0.0000, 0.0000, 0.8182)  -0.03
Ce (0.5000, 0.5000, 0.5000)  0.86
Co (0.5000, 0.5000, 0.0000)  0.73

***

<iii>
This record from Alexandria describes CeTm2Co after structural relaxation. The functional is PBE-GGA.

Summary:
total moment: 1.3 μB per cell

a = 6.2218 Å, b = 6.7546 Å, c = 9.3938 Å
α = 90.00°, β = 90.00°, γ = 90.00°
Site moments in Bohr magnetons follow the coordinates.
Fractional positions:
Tm (0.6736, 0.8315, 0.5672)  0.04
Tm (0.3264, 0.1685, 0.0672)  0.04
Tm (0.1736, 0.6685, 0.4328)  0.04
Tm (0.1736, 0.6685, 0.0672)  0.04
Tm (0.8264, 0.3315, 0.9328)  0.04
Tm (0.8264, 0.3315, 0.5672)  0.04
Tm (0.3264, 0.1685, 0.4328)  0.04
Tm (0.6736, 0.8315, 0.9328)  0.04
Co (0.4810, 0.8636, 0.2500)  -0.03
Co (0.0190, 0.3636, 0.2500)  -0.03
Co (0.9810, 0.6364, 0.7500)  -0.03
Co (0.5190, 0.1364, 0.7500)  -0.03
Ce (0.6464, 0.5582, 0.2500)  0.20
Ce (0.3536, 0.4418, 0.7500)  0.20
Ce (0.8536, 0.0582, 0.2500)  0.20
Ce (0.1464, 0.9418, 0.7500)  0.20

***

The data favor <iii>; the next most stable structure lies 128 meV/atom above it.